{
  "formula": "Nd3IrBr",
  "functional": "GGA-PBE",
  "state": "optimized geometry",
  "formation_energy_uncorrected_kj_per_mol_atoms": -70.5,
  "lattice_angstrom": [[3.935, 0.000, 0.000], [0.000, 9.662, 0.000], [0.000, 0.000, 8.241]],
  "species": ["Nd", "Nd", "Nd", "Nd", "Nd", "Nd", "Ir", "Ir", "Br", "Br"],
  "frac_coords": [[0.250, 0.073, 0.162], [0.250, 0.250, 0.741], [0.250, 0.427, 0.162], [0.750, 0.573, 0.838], [0.750, 0.750, 0.259], [0.750, 0.927, 0.838], [0.250, 0.750, 0.020], [0.750, 0.250, 0.980], [0.250, 0.750, 0.568], [0.750, 0.250, 0.432]]
}

=====

{
  "formula": "KZrAgGe2",
  "functional": "GGA-PBE",
  "state": "optimized geometry",
  "delta_e_f_ev_per_atom": 0.899,
  "lattice_angstrom": [[5.055, 0.000, 0.000], [0.000, 5.055, 0.000], [0.000, 0.000, 5.236]],
  "species": ["K", "Zr", "Ag", "Ge", "Ge"],
  "frac_coords": [[0.000, 0.000, 0.000], [0.500, 0.500, 0.000], [0.000, 0.000, 0.500], [0.000, 0.500, 0.500], [0.500, 0.000, 0.500]]
}

=====

| no. | size of the total moment (μB/cell) |
| --- | --- |
| 1 | 0.00 |
| 2 | 1.66 |